[1]
A relaxed structure of TcWSe2Br. Source: Alexandria via LeMat-Bulk, functional PBE.

Unit cell a=4.8909 b=4.8909 c=5.2940 alpha=90.00 beta=90.00 gamma=90.00
Atoms (fractional coordinates):
Tc: 0.0000 0.0000 0.0000
W: 0.5000 0.5000 0.5000
Se: 0.0000 0.5000 0.5000
Se: 0.5000 0.0000 0.5000
Br: 0.5000 0.5000 0.0000

Properties
Its distance to the lowest polymorph of the same formula is 0 meV/atom.



[2]
A relaxed structure of YTcSeBr2. Source: Alexandria via LeMat-Bulk, functional PBE.

Unit cell a=5.5317 b=5.5317 c=5.5390 alpha=90.00 beta=90.00 gamma=90.00
Atoms (fractional coordinates):
Y: 0.0000 0.0000 0.0000
Tc: 0.5000 0.5000 0.5000
Se: 0.0000 0.0000 0.5000
Br: 0.0000 0.5000 0.0000
Br: 0.5000 0.0000 0.0000

Properties
Its distance to the lowest polymorph of the same formula is 0 meV/atom.



no.,raw formation energy (eV per atom),Fermi-level density of states (states/eV per cell)
1,1.022,4.974
2,-0.103,4.431